No. 1
# NaBeF3, optimized geometry, DFT GGA-PBE
data_NaBeF3
_chemical_formula_sum 'Na1 Be1 F3'
_cell_length_a 3.982
_cell_length_b 3.982
_cell_length_c 3.982
_cell_angle_alpha 90.00
_cell_angle_beta 90.00
_cell_angle_gamma 90.00
_space_group_name_H-M_alt 'P m -3 m'
_space_group_IT_number 221
_space_group_name_Hall '-P 4 2 3'
loop_
_atom_site_label
_atom_site_fract_x
_atom_site_fract_y
_atom_site_fract_z
Na1 0.000 0.000 0.000
Be1 0.500 0.500 0.500
F1 0.000 0.000 0.500
# **Calculated volume**: 12.6 A^3/atom
# **Excess energy over the best structure of this formula in the dataset**: 1834 meV per atom
# **E_tot**: -3.336 eV per atom

=====

No. 2
# NaBe2F6, optimized geometry, DFT GGA-PBE
data_NaBe2F6
_chemical_formula_sum 'Na4 Be8 F24'
_cell_length_a 10.828
_cell_length_b 9.042
_cell_length_c 5.058
_cell_angle_alpha 90.00
_cell_angle_beta 113.14
_cell_angle_gamma 90.00
_space_group_name_H-M_alt 'C 1 2/c 1'
_space_group_IT_number 15
loop_
_space_group_symop_operation_xyz
'x,y,z'
'-x,-y,-z'
'-x,y,-z+1/2'
'x,-y,z+1/2'
'x+1/2,y+1/2,z'
'-x+1/2,-y+1/2,-z'
'-x+1/2,y+1/2,-z+1/2'
'x+1/2,-y+1/2,z+1/2'
loop_
_atom_site_label
_atom_site_fract_x
_atom_site_fract_y
_atom_site_fract_z
Na1 0.000 0.126 0.250
Be1 0.204 0.417 0.125
F1 0.139 0.080 0.732
F2 0.145 0.263 0.131
F3 0.152 0.480 0.811
# **Calculated volume**: 12.6 A^3/atom
# **E_tot**: -4.947 eV per atom

=====

No. 3
# Na3BeF6, optimized geometry, DFT GGA-PBE
data_Na3BeF6
_chemical_formula_sum 'Na6 Be2 F12'
_cell_length_a 9.393
_cell_length_b 5.487
_cell_length_c 5.483
_cell_angle_alpha 90.00
_cell_angle_beta 123.47
_cell_angle_gamma 90.00
_space_group_name_H-M_alt 'C 1 2/m 1'
_space_group_IT_number 12
loop_
_space_group_symop_operation_xyz
'x,y,z'
'-x,-y,-z'
'-x,y,-z'
'x,-y,z'
'x+1/2,y+1/2,z'
'-x+1/2,-y+1/2,-z'
'-x+1/2,y+1/2,-z'
'x+1/2,-y+1/2,z'
loop_
_atom_site_label
_atom_site_fract_x
_atom_site_fract_y
_atom_site_fract_z
Na1 0.000 0.000 0.000
Na2 0.244 0.000 0.720
Be1 0.000 0.500 0.500
F1 0.061 0.276 0.348
F2 0.210 0.500 0.823
# **Calculated volume**: 11.8 A^3/atom
# **Excess energy over the best structure of this formula in the dataset**: 6 meV per atom
# **E_tot**: -4.416 eV per atom

=====

No. 4
# Na3Be2F7, optimized geometry, DFT GGA-PBE
data_Na3Be2F7
_chemical_formula_sum 'Na6 Be4 F14'
_cell_length_a 3.611
_cell_length_b 19.473
_cell_length_c 3.452
_cell_angle_alpha 90.00
_cell_angle_beta 90.00
_cell_angle_gamma 90.00
_space_group_name_H-M_alt 'C m m m'
_space_group_IT_number 65
_space_group_name_Hall '-C 2 2'
loop_
_atom_site_label
_atom_site_fract_x
_atom_site_fract_y
_atom_site_fract_z
Na1 0.000 0.000 0.000
Na2 0.000 0.178 0.000
Be1 0.000 0.404 0.500
F1 0.000 0.093 0.500
F2 0.000 0.314 0.500
F3 0.000 0.407 0.000
F4 0.000 0.500 0.500
# **Calculated volume**: 10.1 A^3/atom
# **E_tot**: -4.878 eV per atom

=====

No. 5
# NaBe2F, optimized geometry, DFT GGA-PBE
data_NaBe2F
_chemical_formula_sum 'Na4 Be8 F4'
_cell_length_a 6.380
_cell_length_b 6.380
_cell_length_c 6.380
_cell_angle_alpha 90.00
_cell_angle_beta 90.00
_cell_angle_gamma 90.00
_space_group_name_H-M_alt 'F m -3 m'
_space_group_IT_number 225
_space_group_name_Hall '-F 4 2 3'
loop_
_atom_site_label
_atom_site_fract_x
_atom_site_fract_y
_atom_site_fract_z
Na1 0.000 0.000 0.000
Be1 0.250 0.250 0.250
F1 0.000 0.000 0.500
# **Calculated volume**: 16.2 A^3/atom
# **Excess energy over the best structure of this formula in the dataset**: 757 meV per atom
# **E_tot**: -2.030 eV per atom

=====

No. 6
# Na3BeF6, optimized geometry, DFT GGA-PBE
data_Na3BeF6
_chemical_formula_sum 'Na6 Be2 F12'
_cell_length_a 5.414
_cell_length_b 5.632
_cell_length_c 9.331
_cell_angle_alpha 90.00
_cell_angle_beta 125.19
_cell_angle_gamma 90.00
_space_group_name_H-M_alt 'P 1 21/c 1'
_space_group_IT_number 14
loop_
_space_group_symop_operation_xyz
'x,y,z'
'-x,-y,-z'
'-x,y+1/2,-z+1/2'
'x,-y+1/2,z+1/2'
loop_
_atom_site_label
_atom_site_fract_x
_atom_site_fract_y
_atom_site_fract_z
Na1 0.000 0.000 0.000
Na2 0.230 0.058 0.748
Be1 0.500 0.000 0.500
F1 0.189 0.176 0.452
F2 0.270 0.740 0.435
F3 0.394 0.041 0.288
# **Calculated volume**: 11.6 A^3/atom
# **Excess energy over the best structure of this formula in the dataset**: 0 meV per atom
# **E_tot**: -4.422 eV per atom

=====

No. 7
# NaBe2F, optimized geometry, DFT GGA-PBE
data_NaBe2F
_chemical_formula_sum 'Na4 Be8 F4'
_cell_length_a 4.084
_cell_length_b 4.084
_cell_length_c 15.720
_cell_angle_alpha 90.00
_cell_angle_beta 90.00
_cell_angle_gamma 90.00
_space_group_name_H-M_alt 'I 41/a m d'
_space_group_IT_number 141
loop_
_space_group_symop_operation_xyz
'x,y,z'
'-x,-y,-z'
'-y+1/4,x+3/4,z+1/4'
'y+1/4,-x+3/4,-z+1/4'
'-x+1/2,-y,z+1/2'
'x+1/2,y,-z+1/2'
'y+1/4,-x+1/4,z+3/4'
'-y+1/4,x+1/4,-z+3/4'
'x,-y,-z'
'-x,y,z'
'-y+1/4,-x+1/4,-z+3/4'
'y+1/4,x+1/4,z+3/4'
'-x+1/2,y,-z+1/2'
'x+1/2,-y,z+1/2'
'y+1/4,x+3/4,-z+1/4'
'-y+1/4,-x+3/4,z+1/4'
'x+1/2,y+1/2,z+1/2'
'-x+1/2,-y+1/2,-z+1/2'
'-y+3/4,x+1/4,z+3/4'
'y+3/4,-x+1/4,-z+3/4'
'-x,-y+1/2,z'
'x,y+1/2,-z'
'y+3/4,-x+3/4,z+1/4'
'-y+3/4,x+3/4,-z+1/4'
'x+1/2,-y+1/2,-z+1/2'
'-x+1/2,y+1/2,z+1/2'
'-y+3/4,-x+3/4,-z+1/4'
'y+3/4,x+3/4,z+1/4'
'-x,y+1/2,-z'
'x,-y+1/2,z'
'y+3/4,x+1/4,-z+3/4'
'-y+3/4,-x+1/4,z+3/4'
loop_
_atom_site_label
_atom_site_fract_x
_atom_site_fract_y
_atom_site_fract_z
Na1 0.000 0.250 0.375
Be1 0.000 0.000 0.000
F1 0.000 0.250 0.875
# **Calculated volume**: 16.4 A^3/atom
# **Excess energy over the best structure of this formula in the dataset**: 0 meV per atom
# **E_tot**: -2.787 eV per atom

=====

No. 8
# Na3BeF, optimized geometry, DFT GGA-PBE
data_Na3BeF
_chemical_formula_sum 'Na3 Be1 F1'
_cell_length_a 4.670
_cell_length_b 4.670
_cell_length_c 4.670
_cell_angle_alpha 90.00
_cell_angle_beta 90.00
_cell_angle_gamma 90.00
_space_group_name_H-M_alt 'P m -3 m'
_space_group_IT_number 221
_space_group_name_Hall '-P 4 2 3'
loop_
_atom_site_label
_atom_site_fract_x
_atom_site_fract_y
_atom_site_fract_z
Na1 0.000 0.000 0.500
Be1 0.500 0.500 0.500
F1 0.000 0.000 0.000
# **Calculated volume**: 20.4 A^3/atom
# **E_tot**: -2.512 eV per atom

=====

No. 9
# NaBeF3, optimized geometry, DFT GGA-PBE
data_NaBeF3
_chemical_formula_sum 'Na4 Be4 F12'
_cell_length_a 9.170
_cell_length_b 6.919
_cell_length_c 3.565
_cell_angle_alpha 90.00
_cell_angle_beta 91.42
_cell_angle_gamma 90.00
_space_group_name_H-M_alt 'C 1 2/m 1'
_space_group_IT_number 12
loop_
_space_group_symop_operation_xyz
'x,y,z'
'-x,-y,-z'
'-x,y,-z'
'x,-y,z'
'x+1/2,y+1/2,z'
'-x+1/2,-y+1/2,-z'
'-x+1/2,y+1/2,-z'
'x+1/2,-y+1/2,z'
loop_
_atom_site_label
_atom_site_fract_x
_atom_site_fract_y
_atom_site_fract_z
Na1 0.205 0.000 0.187
Be1 0.000 0.329 0.500
F1 0.093 0.500 0.290
F2 0.113 0.211 0.715
# **Calculated volume**: 11.3 A^3/atom
# **Excess energy over the best structure of this formula in the dataset**: 0 meV per atom
# **E_tot**: -5.170 eV per atom

=====

No. 10
# NaBeF3, optimized geometry, DFT GGA-PBE
data_NaBeF3
_chemical_formula_sum 'Na2 Be2 F6'
_cell_length_a 2.867
_cell_length_b 7.890
_cell_length_c 5.105
_cell_angle_alpha 90.00
_cell_angle_beta 106.21
_cell_angle_gamma 90.00
_space_group_name_H-M_alt 'P 1 21 1'
_space_group_IT_number 4
loop_
_space_group_symop_operation_xyz
'x,y,z'
'-x,y+1/2,-z'
loop_
_atom_site_label
_atom_site_fract_x
_atom_site_fract_y
_atom_site_fract_z
Na1 0.232 0.000 0.467
Be1 0.479 0.800 0.962
F1 0.067 0.401 0.132
F2 0.368 0.284 0.730
F3 0.393 0.644 0.787
# **Calculated volume**: 11.1 A^3/atom
# **Excess energy over the best structure of this formula in the dataset**: 37 meV per atom
# **E_tot**: -5.133 eV per atom

=====

No. 11
# NaBeF3, optimized geometry, DFT GGA-PBE
data_NaBeF3
_chemical_formula_sum 'Na1 Be1 F3'
_cell_length_a 3.564
_cell_length_b 3.564
_cell_length_c 3.564
_cell_angle_alpha 90.00
_cell_angle_beta 90.00
_cell_angle_gamma 90.00
_space_group_name_H-M_alt 'P m -3 m'
_space_group_IT_number 221
_space_group_name_Hall '-P 4 2 3'
loop_
_atom_site_label
_atom_site_fract_x
_atom_site_fract_y
_atom_site_fract_z
Na1 0.000 0.000 0.000
Be1 0.500 0.500 0.500
F1 0.000 0.500 0.500
# **Calculated volume**: 9.1 A^3/atom
# **Excess energy over the best structure of this formula in the dataset**: 146 meV per atom
# **E_tot**: -5.024 eV per atom

=====

No. 12
# Na2BeF, optimized geometry, DFT GGA-PBE
data_Na2BeF
_chemical_formula_sum 'Na8 Be4 F4'
_cell_length_a 6.755
_cell_length_b 6.755
_cell_length_c 6.755
_cell_angle_alpha 90.00
_cell_angle_beta 90.00
_cell_angle_gamma 90.00
_space_group_name_H-M_alt 'F m -3 m'
_space_group_IT_number 225
_space_group_name_Hall '-F 4 2 3'
loop_
_atom_site_label
_atom_site_fract_x
_atom_site_fract_y
_atom_site_fract_z
Na1 0.250 0.250 0.250
Be1 0.000 0.000 0.000
F1 0.000 0.000 0.500
# **Calculated volume**: 19.3 A^3/atom
# **Excess energy over the best structure of this formula in the dataset**: 335 meV per atom
# **E_tot**: -2.346 eV per atom

=====

No. 13
# Na2Be2F5, optimized geometry, DFT GGA-PBE
data_Na2Be2F5
_chemical_formula_sum 'Na4 Be4 F10'
_cell_length_a 13.219
_cell_length_b 2.836
_cell_length_c 7.436
_cell_angle_alpha 90.00
_cell_angle_beta 116.74
_cell_angle_gamma 90.00
_space_group_name_H-M_alt 'C 1 2/m 1'
_space_group_IT_number 12
loop_
_space_group_symop_operation_xyz
'x,y,z'
'-x,-y,-z'
'-x,y,-z'
'x,-y,z'
'x+1/2,y+1/2,z'
'-x+1/2,-y+1/2,-z'
'-x+1/2,y+1/2,-z'
'x+1/2,-y+1/2,z'
loop_
_atom_site_label
_atom_site_fract_x
_atom_site_fract_y
_atom_site_fract_z
Na1 0.121 0.000 0.016
Be1 0.096 0.500 0.432
F1 0.000 0.500 0.500
F2 0.046 0.500 0.199
F3 0.160 0.000 0.510
# **Calculated volume**: 13.8 A^3/atom
# **E_tot**: -4.846 eV per atom

=====

No. 14
# NaBe3F, optimized geometry, DFT GGA-PBE
data_NaBe3F
_chemical_formula_sum 'Na1 Be3 F1'
_cell_length_a 4.917
_cell_length_b 4.917
_cell_length_c 4.917
_cell_angle_alpha 90.00
_cell_angle_beta 90.00
_cell_angle_gamma 90.00
_space_group_name_H-M_alt 'P m -3 m'
_space_group_IT_number 221
_space_group_name_Hall '-P 4 2 3'
loop_
_atom_site_label
_atom_site_fract_x
_atom_site_fract_y
_atom_site_fract_z
Na1 0.000 0.000 0.000
Be1 0.000 0.000 0.500
F1 0.500 0.500 0.500
# **Calculated volume**: 23.8 A^3/atom
# **Excess energy over the best structure of this formula in the dataset**: 1113 meV per atom
# **E_tot**: -1.278 eV per atom

=====

No. 15
# Na2BeF, optimized geometry, DFT GGA-PBE
data_Na2BeF
_chemical_formula_sum 'Na8 Be4 F4'
_cell_length_a 6.736
_cell_length_b 6.736
_cell_length_c 7.535
_cell_angle_alpha 90.00
_cell_angle_beta 90.00
_cell_angle_gamma 90.00
_space_group_name_H-M_alt 'I -4 2 d'
_space_group_IT_number 122
_space_group_name_Hall 'I -4 2bw'
loop_
_atom_site_label
_atom_site_fract_x
_atom_site_fract_y
_atom_site_fract_z
Na1 0.152 0.750 0.125
Be1 0.000 0.000 0.500
F1 0.000 0.000 0.000
# **Calculated volume**: 21.4 A^3/atom
# **Excess energy over the best structure of this formula in the dataset**: 0 meV per atom
# **E_tot**: -2.681 eV per atom

=====

No. 16
# Na2BeNbF, optimized geometry, DFT GGA-PBE
data_Na2BeNbF
_chemical_formula_sum 'Na2 Be1 Nb1 F1'
_cell_length_a 5.157
_cell_length_b 5.157
_cell_length_c 4.538
_cell_angle_alpha 90.00
_cell_angle_beta 90.00
_cell_angle_gamma 90.00
_space_group_name_H-M_alt 'P 4/m m m'
_space_group_IT_number 123
_space_group_name_Hall '-P 4 2'
loop_
_atom_site_label
_atom_site_fract_x
_atom_site_fract_y
_atom_site_fract_z
Na1 0.000 0.500 0.000
Be1 0.000 0.000 0.000
Nb1 0.000 0.000 0.500
F1 0.500 0.500 0.500
# **Calculated volume**: 24.1 A^3/atom
# **E_tot**: -3.114 eV per atom

=====

No. 17
# NaNpBe2F8, optimized geometry, DFT GGA-PBE
data_NaNpBe2F8
_chemical_formula_sum 'Na3 Np3 Be6 F24'
_cell_length_a 5.3716
_cell_length_b 5.3716
_cell_length_c 17.2627
_cell_angle_alpha 90.00
_cell_angle_beta 90.00
_cell_angle_gamma 120.00
_space_group_name_H-M_alt 'R -3'
_space_group_IT_number 148
_space_group_name_Hall '-R 3'
loop_
_atom_site_label
_atom_site_fract_x
_atom_site_fract_y
_atom_site_fract_z
Na1 0.0000 0.0000 0.0000
Np1 0.0000 0.0000 0.5000
Be1 0.0000 0.0000 0.2657
F1 0.0000 0.0000 0.3542
F2 0.0372 0.4193 0.4327
# **Calculated volume**: 12.0 A^3/atom
# **E_tot**: -6.242 eV per atom

=====

No. 18
# NaBe2PbF8, optimized geometry, DFT GGA-PBE
data_NaBe2PbF8
_chemical_formula_sum 'Na2 Be4 Pb2 F16'
_cell_length_a 8.291
_cell_length_b 5.576
_cell_length_c 7.488
_cell_angle_alpha 90.00
_cell_angle_beta 90.72
_cell_angle_gamma 90.00
_space_group_name_H-M_alt 'C 1 2/m 1'
_space_group_IT_number 12
loop_
_space_group_symop_operation_xyz
'x,y,z'
'-x,-y,-z'
'-x,y,-z'
'x,-y,z'
'x+1/2,y+1/2,z'
'-x+1/2,-y+1/2,-z'
'-x+1/2,y+1/2,-z'
'x+1/2,-y+1/2,z'
loop_
_atom_site_label
_atom_site_fract_x
_atom_site_fract_y
_atom_site_fract_z
Na1 0.000 0.000 0.000
Be1 0.140 0.500 0.742
Pb1 0.000 0.000 0.500
F1 0.028 0.266 0.734
F2 0.229 0.500 0.552
F3 0.247 0.500 0.901
# **Calculated volume**: 14.4 A^3/atom
# **E_tot**: -5.024 eV per atom

=====

No. 19
# Na3Be3Pb2F13, optimized geometry, DFT GGA-PBE
data_Na3Be3Pb2F13
_chemical_formula_sum 'Na6 Be6 Pb4 F26'
_cell_length_a 9.537
_cell_length_b 7.139
_cell_length_c 9.668
_cell_angle_alpha 90.00
_cell_angle_beta 119.52
_cell_angle_gamma 90.00
_space_group_name_H-M_alt 'P 1 21 1'
_space_group_IT_number 4
loop_
_space_group_symop_operation_xyz
'x,y,z'
'-x,y+1/2,-z'
loop_
_atom_site_label
_atom_site_fract_x
_atom_site_fract_y
_atom_site_fract_z
Na1 0.155 0.000 0.323
Na2 0.160 0.489 0.322
Na3 0.241 0.744 0.001
Be1 0.101 0.243 0.971
Be2 0.118 0.747 0.593
Be3 0.467 0.742 0.374
Pb1 0.276 0.246 0.764
Pb2 0.491 0.242 0.247
F1 0.008 0.745 0.666
F2 0.025 0.752 0.406
F3 0.083 0.747 0.125
F4 0.169 0.068 0.919
F5 0.169 0.240 0.153
F6 0.174 0.418 0.924
F7 0.234 0.570 0.643
F8 0.239 0.919 0.653
F9 0.352 0.238 0.499
F10 0.358 0.756 0.452
F11 0.414 0.565 0.264
F12 0.431 0.908 0.255
F13 0.477 0.731 0.984
# **Calculated volume**: 13.6 A^3/atom
# **E_tot**: -5.140 eV per atom

=====

No. 20
# Na2BePdF6, optimized geometry, DFT GGA-PBE
data_Na2BePdF6
_chemical_formula_sum 'Na2 Be1 Pd1 F6'
_cell_length_a 4.798
_cell_length_b 5.848
_cell_length_c 6.332
_cell_angle_alpha 99.80
_cell_angle_beta 111.22
_cell_angle_gamma 113.60
_space_group_name_H-M_alt 'P 1'
_space_group_IT_number 1
loop_
_space_group_symop_operation_xyz
'x,y,z'
loop_
_atom_site_label
_atom_site_fract_x
_atom_site_fract_y
_atom_site_fract_z
Na1 0.000 0.000 0.000
Na2 0.151 0.458 0.578
Be1 0.435 0.089 0.638
Pd1 0.572 0.723 0.284
F1 0.072 0.016 0.402
F2 0.112 0.424 0.182
F3 0.352 0.049 0.842
F4 0.556 0.866 0.595
F5 0.560 0.613 0.970
F6 0.690 0.344 0.635
# **Calculated volume**: 14.1 A^3/atom
# **E_tot**: -4.669 eV per atom